# 1
ThSnGe2Ir5 after structural relaxation. Source: the Alexandria database, functional PBE.

Results
The calculation puts the final energy at -7.45 eV/atom. As for the density of states at the Fermi level: 5.01 states/eV/cell. The density is 13225 kg/m³.

Geometry as POSCAR:
```
ThSnGe2Ir5
1.0
4.017 0.000 0.000
0.000 4.017 0.000
0.000 0.000 11.337
Th Sn Ge Ir
1 1 2 5
direct
0.000 0.000 0.000
0.000 0.000 0.500
0.500 0.500 0.215
0.500 0.500 0.785
0.000 0.500 0.338
0.000 0.500 0.662
0.500 0.000 0.338
0.500 0.000 0.662
0.500 0.500 0.000
```

# 2
LaEr6Tm12 after structural relaxation. Source: the Alexandria database, functional PBE.

Results
As for the density of states at the Fermi level: 30.73 states/eV/cell. Its energy above the lowest structure with this stoichiometry is 0.0000 eV per atom. The density is 8792 kg/m³.

Geometry as POSCAR:
```
LaEr6Tm12
1.0
5.870 3.389 5.016
-5.870 3.389 5.016
0.000 -6.778 5.016
La Er Tm
1 6 12
direct
0.000 0.000 0.000
0.090 0.681 0.256
0.256 0.090 0.681
0.319 0.744 0.910
0.681 0.256 0.090
0.744 0.910 0.319
0.910 0.319 0.744
0.006 0.217 0.354
0.217 0.354 0.006
0.229 0.453 0.564
0.354 0.006 0.217
0.436 0.771 0.547
0.453 0.564 0.229
0.547 0.436 0.771
0.564 0.229 0.453
0.646 0.994 0.783
0.771 0.547 0.436
0.783 0.646 0.994
0.994 0.783 0.646
```

# 3
MgSbI6 after structural relaxation. Source: the Alexandria database, functional PBE.

Results
The energy relative to the elements, uncorrected comes out at -0.41 eV/atom. As for the density of states at the Fermi level: 11.51 states/eV/cell. The density is 4761 kg/m³.

Geometry as POSCAR:
```
MgSbI6
1.0
7.456 0.000 0.000
-3.721 6.465 0.000
-3.723 -2.149 6.565
Mg Sb I
1 1 6
direct
0.000 0.000 0.000
0.000 0.500 0.500
0.165 0.752 0.243
0.171 0.922 0.757
0.491 0.413 0.243
0.509 0.587 0.757
0.829 0.078 0.243
0.835 0.248 0.757
```

# 4
La9Pr4Tm after structural relaxation. Source: the Alexandria database, functional PBE.

Results
The calculation puts the final energy at -4.71 eV/atom. As for the density of states at the Fermi level: 46.99 states/eV/cell. The density is 6371 kg/m³.

Geometry as POSCAR:
```
La9Pr4Tm
1.0
10.122 0.000 0.000
-5.061 8.766 0.000
0.000 0.000 11.647
La Pr Tm
18 8 2
direct
0.078 0.539 0.250
0.207 0.415 0.531
0.207 0.415 0.969
0.207 0.793 0.531
0.207 0.793 0.969
0.415 0.207 0.031
0.415 0.207 0.469
0.461 0.539 0.250
0.461 0.922 0.250
0.539 0.078 0.750
0.539 0.461 0.750
0.585 0.793 0.531
0.585 0.793 0.969
0.793 0.207 0.031
0.793 0.207 0.469
0.793 0.585 0.031
0.793 0.585 0.469
0.922 0.461 0.750
0.000 0.000 0.000
0.000 0.000 0.500
0.115 0.230 0.250
0.115 0.885 0.250
0.230 0.115 0.750
0.770 0.885 0.250
0.885 0.115 0.750
0.885 0.770 0.750
0.333 0.667 0.750
0.667 0.333 0.250
```

# 5
PaCu2Pd8 after structural relaxation. Source: the Alexandria database, functional PBE.

Results
As for the density of states at the Fermi level: 4.57 states/eV/cell. Its energy above the lowest structure with this stoichiometry is 0.1148 eV per atom. The density is 11191 kg/m³.

Geometry as POSCAR:
```
PaCu2Pd8
1.0
6.769 -2.698 0.000
6.769 2.698 0.000
-0.113 0.000 4.913
Pa Cu Pd
1 2 8
direct
0.000 0.000 0.000
0.256 0.256 0.390
0.744 0.744 0.610
0.156 0.654 0.603
0.200 0.200 0.885
0.346 0.844 0.397
0.409 0.409 0.108
0.591 0.591 0.892
0.654 0.156 0.603
0.800 0.800 0.115
0.844 0.346 0.397
```

# 6
Sm5SbPt2 after structural relaxation. Source: the Alexandria database, functional PBE.

Results
The energy relative to the elements, uncorrected comes out at -0.94 eV/atom. As for the density of states at the Fermi level: 15.82 states/eV/cell. The density is 9592 kg/m³.

Geometry as POSCAR:
```
Sm5SbPt2
1.0
-3.988 3.988 6.879
3.988 -3.988 6.879
3.988 3.988 -6.879
Sm Sb Pt
10 2 4
direct
0.000 0.000 0.000
0.019 0.519 0.816
0.203 0.019 0.500
0.297 0.797 0.816
0.481 0.297 0.500
0.500 0.500 0.000
0.519 0.703 0.500
0.703 0.203 0.184
0.797 0.981 0.500
0.981 0.481 0.184
0.250 0.250 0.000
0.750 0.750 0.000
0.137 0.363 0.500
0.363 0.863 0.227
0.637 0.137 0.773
0.863 0.637 0.500
```

# 7
Mn2ReAs after structural relaxation. Source: the Alexandria database, functional PBE.

Results
The calculation puts the final energy at -8.69 eV/atom. As for the density of states at the Fermi level: 3.46 states/eV/cell. The density is 12079 kg/m³.

Geometry as POSCAR:
```
Mn2ReAs
1.0
2.884 0.000 0.000
0.000 2.884 0.000
0.000 0.000 6.131
Mn Re As
2 1 1
direct
0.000 0.000 0.000
0.500 0.500 0.245
0.000 0.000 0.496
0.500 0.500 0.784
```

# 8
SiRh2Cl after structural relaxation. Source: the Alexandria database, functional PBE.

Results
The energy relative to the elements, uncorrected comes out at -0.44 eV/atom. As for the density of states at the Fermi level: 2.24 states/eV/cell. Its energy above the lowest structure with this stoichiometry is 0.0000 eV per atom. The density is 7310 kg/m³.

Geometry as POSCAR:
```
SiRh2Cl
1.0
2.912 0.000 0.000
0.000 2.982 0.000
0.000 0.000 7.044
Si Rh Cl
1 2 1
direct
0.000 0.000 0.000
0.500 0.500 0.194
0.500 0.500 0.806
0.000 0.500 0.500
```